Record 1
4
Lattice="3.0994 0.0000 0.0000 0.0000 4.3954 0.0000 -0.4694 0.0000 5.4417" Properties=species:S:1:pos:R:3 comment="PBE RhWBr2, optimized geometry" final_energy_ry_per_atom=-0.3654 raw_formation_energy_ev_per_atom=0.9407 space_group="P2/m (10)" vol_a3_per_atom=18.53 pbc="T T T"
Rh 0.0000 0.0000 0.0000
W 1.3150 0.0000 2.7209
Br 0.7801 2.1977 1.3751
Br 1.8499 2.1977 4.0667


Record 2
5
Lattice="3.9056 0.0000 0.0000 0.0000 3.9056 0.0000 0.0000 0.0000 5.1954" Properties=species:S:1:pos:R:3 comment="PBE TlTcSN2, optimized geometry" final_energy_ry_per_atom=-0.4590 raw_formation_energy_ev_per_atom=0.4568 space_group="P4/mmm (123)" vol_a3_per_atom=15.85 pbc="T T T"
Tl 0.0000 0.0000 0.0000
Tc 1.9528 1.9528 2.5977
S 1.9528 1.9528 0.0000
N 0.0000 1.9528 2.5977
N 1.9528 0.0000 2.5977


Record 3
16
Lattice="2.0832 -6.9034 0.0000 2.0832 6.9034 0.0000 0.0000 0.0000 14.4944" Properties=species:S:1:pos:R:3 comment="PBE Ce2TlAgS4, optimized geometry" final_energy_ry_per_atom=-0.4066 raw_formation_energy_ev_per_atom=-1.3320 space_group="Cmcm (63)" vol_a3_per_atom=26.06 pbc="T T T"
Ce 2.0832 5.1094 8.1603
Ce 2.0832 5.1094 13.5813
Ce 2.0832 -5.1094 0.9131
Ce 2.0832 -5.1094 6.3341
Tl 2.0832 1.5408 10.8708
Tl 2.0832 -1.5408 3.6236
Ag 2.0832 2.3002 3.6236
Ag 2.0832 -2.3002 10.8708
S 2.0832 6.0769 10.8708
S 2.0832 3.6324 1.4876
S 2.0832 3.6324 5.7596
S 2.0832 0.0000 0.0000
S 2.0832 0.0000 7.2472
S 2.0832 -3.6324 8.7348
S 2.0832 -3.6324 13.0068
S 2.0832 -6.0769 3.6236